(1)
CeSc5Rh4: optimized geometry, PBE.

abc: 3.2217 3.2217 17.9421
angles: 90.00 90.00 90.00
With the nearest neighbours (Å) after each atom.
Positions (direct):
1 Ce 0.0000 0.0000 0.0000  4 Ce 3.22, 8 Sc 3.38
2 Sc 0.5000 0.5000 0.1390  4 Rh 2.77
3 Sc 0.5000 0.5000 0.3186  8 Rh 2.80-2.81
4 Sc 0.5000 0.5000 0.5000  8 Rh 2.80
5 Sc 0.5000 0.5000 0.6814  8 Rh 2.80-2.81
6 Sc 0.5000 0.5000 0.8610  4 Rh 2.77
7 Rh 0.0000 0.0000 0.2272  8 Sc 2.77-2.81
8 Rh 0.0000 0.0000 0.4093  8 Sc 2.80
9 Rh 0.0000 0.0000 0.5907  8 Sc 2.80
10 Rh 0.0000 0.0000 0.7728  8 Sc 2.77-2.81

Values from the calculation:
Space group = P4/mmm (123)
DFT formation energy = -784 kJ/mol of formula units

(2)
SiIr2Br: optimized geometry, PBE.

abc: 4.4352 4.4352 4.4352
angles: 60.00 60.00 60.00
With the nearest neighbours (Å) after each atom.
Positions (direct):
1 Si 0.0000 0.0000 0.0000  8 Ir 2.72
2 Ir 0.2500 0.2500 0.2500  4 Br 2.72, 4 Si 2.72
3 Ir 0.7500 0.7500 0.7500  4 Br 2.72, 4 Si 2.72
4 Br 0.5000 0.5000 0.5000  8 Ir 2.72

Values from the calculation:
Space group = Fm-3m (225)
Energy relative to the elements, uncorrected = 0.703 eV/atom
Polymorph energy (0 for the lowest one) = 753 meV per atom

(3)
NiHRu3: optimized geometry, PBE.

abc: 3.8262 3.8262 3.8262
angles: 90.00 90.00 90.00
With the nearest neighbours (Å) after each atom.
Positions (direct):
1 Ni 0.0000 0.0000 0.0000  12 Ru 2.71
2 H 0.5000 0.5000 0.5000  6 Ru 1.91
3 Ru 0.0000 0.5000 0.5000  2 H 1.91
4 Ru 0.5000 0.0000 0.5000  2 H 1.91
5 Ru 0.5000 0.5000 0.0000  2 H 1.91

Values from the calculation:
Space group = Pm-3m (221)
Polymorph energy (0 for the lowest one) = 0 meV per atom

(4)
BaLa2GaNi: optimized geometry, PBE.

abc: 5.5525 5.5525 4.9125
angles: 90.00 90.00 90.00
With the nearest neighbours (Å) after each atom.
Positions (direct):
1 Ba 0.0000 0.0000 0.0000  8 La 3.71, 4 Ga 3.93
2 La 0.0000 0.5000 0.5000  2 Ni 2.78
3 La 0.5000 0.0000 0.5000  2 Ni 2.78
4 Ga 0.5000 0.5000 0.0000  2 Ni 2.46
5 Ni 0.5000 0.5000 0.5000  2 Ga 2.46

Values from the calculation:
Space group = P4/mmm (123)
DFT formation energy = -62 kJ/mol of formula units

(5)
BeAl4Cl: optimized geometry, PBE.

abc: 5.4043 5.4043 5.4043
angles: 60.00 60.00 60.00
With the nearest neighbours (Å) after each atom.
Positions (direct):
1 Be 0.0000 0.0000 0.0000  12 Al 3.17, 4 Cl 3.31
2 Al 0.3743 0.3743 0.3743  6 Al 2.69-2.72
3 Al 0.3743 0.3743 0.8770  6 Al 2.69-2.72
4 Al 0.3743 0.8770 0.3743  6 Al 2.69-2.72
5 Al 0.8770 0.3743 0.3743  6 Al 2.69-2.72
6 Cl 0.7500 0.7500 0.7500  12 Al 3.17, 4 Be 3.31

Values from the calculation:
Space group = F-43m (216)
Energy relative to the elements, uncorrected = 0.450 eV/atom

(6)
Pa3Ni2Ge6: optimized geometry, PBE.

abc: 13.7703 13.7703 13.7703
angles: 163.13 163.13 23.95
With the nearest neighbours (Å) after each atom.
Positions (direct):
1 Pa 0.0000 0.0000 0.0000  8 Ge 2.98
2 Pa 0.1644 0.1644 0.0000  5 Ge 2.85-3.01, 4 Ni 2.91
3 Pa 0.8356 0.8356 0.0000  5 Ge 2.85-3.01, 4 Ni 2.91
4 Ni 0.3567 0.3567 0.0000  1 Ge 2.33
5 Ni 0.6433 0.6433 0.0000  1 Ge 2.33
6 Ge 0.0816 0.5816 0.5000  2 Ni 2.62, 4 Ge 2.86
7 Ge 0.2703 0.2703 0.0000  1 Ni 2.33
8 Ge 0.4184 0.9184 0.5000  2 Ni 2.62, 4 Ge 2.86
9 Ge 0.5816 0.0816 0.5000  2 Ni 2.62, 4 Ge 2.86
10 Ge 0.7297 0.7297 0.0000  1 Ni 2.33
11 Ge 0.9184 0.4184 0.5000  2 Ni 2.62, 4 Ge 2.86

Values from the calculation:
Space group = I4/mmm (139)
DFT formation energy = -380 kJ/mol of formula units

(7)
Ce2PdAu6: optimized geometry, PBE.

abc: 7.5127 7.5127 6.7379
angles: 91.78 91.78 30.91
With the nearest neighbours (Å) after each atom.
Positions (direct):
1 Ce 0.0961 0.0961 0.2491  2 Pd 2.99, 8 Au 3.13-3.33
2 Ce 0.9039 0.9039 0.7509  2 Pd 2.99, 8 Au 3.13-3.33
3 Pd 0.5000 0.5000 0.5000  4 Au 2.71-2.81, 4 Ce 2.99
4 Au 0.2403 0.2403 0.8520  8 Au 2.83-3.11
5 Au 0.3135 0.3135 0.4452  1 Pd 2.71, 6 Au 2.77-2.97
6 Au 0.4215 0.4215 0.1126  4 Au 2.77-3.10, 1 Pd 2.81
7 Au 0.5785 0.5785 0.8874  4 Au 2.77-3.10, 1 Pd 2.81
8 Au 0.6865 0.6865 0.5548  1 Pd 2.71, 6 Au 2.77-2.97
9 Au 0.7597 0.7597 0.1480  8 Au 2.83-3.11

Values from the calculation:
Space group = C2/m (12)
DFT formation energy = -439 kJ/mol of formula units

(8)
LaGa7Au3: optimized geometry, PBE.

abc: 8.5804 8.5804 8.5804
angles: 58.03 58.03 58.03
With the nearest neighbours (Å) after each atom.
Positions (direct):
1 La 0.0000 0.0000 0.0000  12 Ga 3.32-3.47, 6 Au 3.37
2 La 0.5000 0.5000 0.5000  12 Ga 3.32-3.47, 6 Au 3.37
3 Ga 0.0725 0.8525 0.6712  3 Au 2.63-2.73, 3 Ga 2.85-2.90
4 Ga 0.1475 0.3288 0.9275  3 Au 2.63-2.73, 3 Ga 2.85-2.90
5 Ga 0.1712 0.3525 0.5725  3 Au 2.63-2.73, 3 Ga 2.85-2.90
6 Ga 0.2500 0.2500 0.2500  3 Au 2.61
7 Ga 0.3288 0.9275 0.1475  3 Au 2.63-2.73, 3 Ga 2.85-2.90
8 Ga 0.3525 0.5725 0.1712  3 Au 2.63-2.73, 3 Ga 2.85-2.90
9 Ga 0.4275 0.8288 0.6475  3 Au 2.63-2.73, 3 Ga 2.85-2.90
10 Ga 0.5725 0.1712 0.3525  3 Au 2.63-2.73, 3 Ga 2.85-2.90
11 Ga 0.6475 0.4275 0.8288  3 Au 2.63-2.73, 3 Ga 2.85-2.90
12 Ga 0.6712 0.0725 0.8525  3 Au 2.63-2.73, 3 Ga 2.85-2.90
13 Ga 0.7500 0.7500 0.7500  3 Au 2.61
14 Ga 0.8288 0.6475 0.4275  3 Au 2.63-2.73, 3 Ga 2.85-2.90
15 Ga 0.8525 0.6712 0.0725  3 Au 2.63-2.73, 3 Ga 2.85-2.90
16 Ga 0.9275 0.1475 0.3288  3 Au 2.63-2.73, 3 Ga 2.85-2.90
17 Au 0.0630 0.7500 0.4370  7 Ga 2.61-2.73
18 Au 0.2500 0.5630 0.9370  7 Ga 2.61-2.73
19 Au 0.4370 0.0630 0.7500  7 Ga 2.61-2.73
20 Au 0.5630 0.9370 0.2500  7 Ga 2.61-2.73
21 Au 0.7500 0.4370 0.0630  7 Ga 2.61-2.73
22 Au 0.9370 0.2500 0.5630  7 Ga 2.61-2.73

Values from the calculation:
Space group = R-3c (167)
DFT formation energy = -449 kJ/mol of formula units

Sequential total moment output: 0.04; 0.00; 0.00; 0.00; 0.00; 0.00; 0.19; 0.00 μB/atom